# NbBiSb2, optimized geometry, DFT PBE
data_NbBiSb2
_chemical_formula_sum 'Nb4 Bi4 Sb8'
_space_group_name_H-M_alt 'I -4 2 d'
_space_group_IT_number 122
_space_group_name_Hall 'I -4 2bw'
_cell_length_a 6.693
_cell_length_b 6.693
_cell_length_c 13.344
_cell_angle_alpha 90.00
_cell_angle_beta 90.00
_cell_angle_gamma 90.00
loop_
_atom_site_label
_atom_site_type_symbol
_atom_site_fract_x
_atom_site_fract_y
_atom_site_fract_z
_atom_site_occupancy
Nb1 Nb 0.000 0.000 0.000 1
Bi1 Bi 0.000 0.000 0.500 1
Sb1 Sb 0.208 0.250 0.125 1
# * total magnetization: 1.90 μB per formula unit
# * raw formation energy: 45.23 kJ per mole of atoms

---

# Pr6SnGe2I3, optimized geometry, DFT PBE
data_Pr6SnGe2I3
_chemical_formula_sum 'Pr12 Sn2 Ge4 I6'
_space_group_name_H-M_alt 'C 1 2/m 1'
_space_group_IT_number 12
_space_group_name_Hall '-C 2y'
_cell_length_a 20.126
_cell_length_b 4.455
_cell_length_c 9.294
_cell_angle_alpha 90.00
_cell_angle_beta 106.23
_cell_angle_gamma 90.00
loop_
_atom_site_label
_atom_site_type_symbol
_atom_site_fract_x
_atom_site_fract_y
_atom_site_fract_z
_atom_site_occupancy
Pr1 Pr 0.016 0.000 0.241 1
Pr2 Pr 0.163 0.500 0.125 1
Pr3 Pr 0.178 0.500 0.560 1
Sn1 Sn 0.000 0.500 0.000 1
Ge1 Ge 0.168 0.000 0.339 1
I1 I 0.000 0.500 0.500 1
I2 I 0.164 0.000 0.834 1
# * total magnetization: 0.00 μB per formula unit
# * raw formation energy: -95.31 kJ per mole of atoms

---

# ReMoW, optimized geometry, DFT PBE
data_ReMoW
_chemical_formula_sum 'Re1 Mo1 W1'
_space_group_name_H-M_alt 'P 3 m 1'
_space_group_IT_number 156
_space_group_name_Hall 'P 3 -2"'
_cell_length_a 4.4513
_cell_length_b 4.4513
_cell_length_c 2.7411
_cell_angle_alpha 90.00
_cell_angle_beta 90.00
_cell_angle_gamma 120.00
loop_
_atom_site_label
_atom_site_type_symbol
_atom_site_fract_x
_atom_site_fract_y
_atom_site_fract_z
_atom_site_occupancy
Re1 Re 0.0000 0.0000 0.0000 1
Mo1 Mo 0.3333 0.6667 0.6482 1
W1 W 0.6667 0.3333 0.3209 1
# * energy relative to the elements: 0.053 eV/atom
# * energy above the lowest structure with this stoichiometry: 0.0000 eV/atom
# * total magnetization: 0.00 μB per formula unit

---

# Sr3YZn4, optimized geometry, DFT PBE
data_Sr3YZn4
_chemical_formula_sum 'Sr3 Y1 Zn4'
_space_group_name_H-M_alt 'P 4/m m m'
_space_group_IT_number 123
_space_group_name_Hall '-P 4 2'
_cell_length_a 3.799
_cell_length_b 3.799
_cell_length_c 15.391
_cell_angle_alpha 90.00
_cell_angle_beta 90.00
_cell_angle_gamma 90.00
loop_
_atom_site_label
_atom_site_type_symbol
_atom_site_fract_x
_atom_site_fract_y
_atom_site_fract_z
_atom_site_occupancy
Sr1 Sr 0.000 0.000 0.000 1
Sr2 Sr 0.000 0.000 0.262 1
Y1 Y 0.000 0.000 0.500 1
Zn1 Zn 0.500 0.500 0.130 1
Zn2 Zn 0.500 0.500 0.401 1
# * energy relative to the elements: -0.216 eV/atom
# * total magnetization: 0.00 μB per formula unit

---

# Cs3NpTl2Cl9, optimized geometry, DFT PBE
data_Cs3NpTl2Cl9
_chemical_formula_sum 'Cs3 Np1 Tl2 Cl9'
_space_group_name_H-M_alt 'P -3 m 1'
_space_group_IT_number 164
_space_group_name_Hall '-P 3 2"'
_cell_length_a 8.3554
_cell_length_b 8.3554
_cell_length_c 10.1551
_cell_angle_alpha 90.00
_cell_angle_beta 90.00
_cell_angle_gamma 120.00
loop_
_atom_site_label
_atom_site_type_symbol
_atom_site_fract_x
_atom_site_fract_y
_atom_site_fract_z
_atom_site_occupancy
Cs1 Cs 0.0000 0.0000 0.0000 1
Cs2 Cs 0.3333 0.6667 0.7413 1
Np1 Np 0.0000 0.0000 0.5000 1
Tl1 Tl 0.3333 0.6667 0.1720 1
Cl1 Cl 0.0000 0.5000 0.0000 1
Cl2 Cl 0.1456 0.2912 0.3477 1
# * total magnetization: 3.00 μB per formula unit
# * raw formation energy: -158.25 kJ per mole of atoms

---

# CoTeS, optimized geometry, DFT PBE
data_CoTeS
_chemical_formula_sum 'Co2 Te2 S2'
_space_group_name_H-M_alt 'P m n 21'
_space_group_IT_number 31
_space_group_name_Hall 'P 2ac -2'
_cell_length_a 3.698
_cell_length_b 4.943
_cell_length_c 5.913
_cell_angle_alpha 90.00
_cell_angle_beta 90.00
_cell_angle_gamma 90.00
loop_
_atom_site_label
_atom_site_type_symbol
_atom_site_fract_x
_atom_site_fract_y
_atom_site_fract_z
_atom_site_occupancy
Co1 Co 0.000 0.217 0.000 1
Te1 Te 0.000 0.465 0.624 1
S1 S 0.000 0.030 0.361 1
# * energy above the lowest structure with this stoichiometry: 0.0050 eV/atom
# * total magnetization: 0.69 μB per formula unit
# * raw formation energy: -20.49 kJ per mole of atoms